Compound: AsIrPt2
Source: Alexandria
Functional: GGA-PBE
Structure: relaxed

Lattice parameters (Å, degrees): 3.6617 5.4714 5.4714 36.29 90.00 90.00
Last column: nearest neighbours and their distance in Å.
Sites, in units of the cell vectors:
As1 0.0000 0.0000 0.0000  2 Ir 2.39, 5 Pt 2.41-2.66
Ir1 0.5000 0.1473 0.1473  2 As 2.39
Pt1 0.0000 0.7679 0.7679  1 As 2.41
Pt2 0.5000 0.4127 0.4127  4 As 2.66, 3 Ir 2.76-2.98, 4 Pt 2.92

Output
- VASP energy: -25.39 eV per cell
- Size of the total moment: 0.0 μB per formula unit
- Energy of formation: 51 meV per atom
- Space-group type: No. 38


Compound: Ba2YRu
Source: Alexandria
Functional: GGA-PBE
Structure: relaxed

Lattice parameters (Å, degrees): 5.1983 5.1983 8.9605 105.29 105.29 45.61
Last column: nearest neighbours and their distance in Å.
Sites, in units of the cell vectors:
Ba1 0.0000 0.0000 0.0000  2 Ru 3.23, 1 Y 3.54
Ba2 0.1530 0.1530 0.5722  2 Ru 3.24, 1 Y 3.55
Y1 0.8098 0.8098 0.2853  3 Ru 2.80-2.84
Ru1 0.5131 0.5131 0.2857  3 Y 2.80-2.84

Output
- VASP energy: -18.98 eV per cell
- Size of the total moment: 0.0 μB per formula unit
- Energy of formation: 152 meV per atom
- Space-group type: No. 8